# CaTaCu | the Alexandria database | PBE-GGA | optimized geometry
data_CaTaCu
_chemical_formula_sum 'Ca2 Ta2 Cu2'
_cell_length_a 3.047
_cell_length_b 6.163
_cell_length_c 7.126
_cell_angle_alpha 109.63
_cell_angle_beta 90.11
_cell_angle_gamma 104.30
_symmetry_space_group_name_H-M 'P -1'
_symmetry_Int_Tables_number 2
loop_
_symmetry_equiv_pos_as_xyz
'x,y,z'
'-x,-y,-z'
loop_
_atom_site_label
_atom_site_fract_x
_atom_site_fract_y
_atom_site_fract_z
Ca1 0.148 0.293 0.088
Ta1 0.156 0.310 0.525
Cu1 0.465 0.933 0.298
# M_tot in μB/atom: 0.0000
# Excess energy over the best structure of this formula in the dataset in eV/atom: 0.076
# Raw total energy in eV/atom: -5.715

---

# CaTaCu | the Alexandria database | PBE-GGA | optimized geometry
data_CaTaCu
_chemical_formula_sum 'Ca2 Ta2 Cu2'
_cell_length_a 4.3016
_cell_length_b 4.3016
_cell_length_c 11.6330
_cell_angle_alpha 90.00
_cell_angle_beta 90.00
_cell_angle_gamma 120.00
_symmetry_space_group_name_H-M 'P 63/m m c'
_symmetry_Int_Tables_number 194
_symmetry_space_group_name_Hall '-P 6c 2c'
loop_
_atom_site_label
_atom_site_fract_x
_atom_site_fract_y
_atom_site_fract_z
Ca1 0.0000 0.0000 0.2500
Ta1 0.0000 0.0000 0.0000
Cu1 0.3333 0.6667 0.2500
# M_tot in μB/atom: 0.9502
# Excess energy over the best structure of this formula in the dataset in eV/atom: 2.293
# Raw total energy in eV/atom: -3.497

---

# CaTaCu | the Alexandria database | PBE-GGA | optimized geometry
data_CaTaCu
_chemical_formula_sum 'Ca2 Ta2 Cu2'
_cell_length_a 3.140
_cell_length_b 3.140
_cell_length_c 12.341
_cell_angle_alpha 90.00
_cell_angle_beta 90.00
_cell_angle_gamma 90.00
_symmetry_space_group_name_H-M 'I 4 m m'
_symmetry_Int_Tables_number 107
_symmetry_space_group_name_Hall 'I 4 -2'
loop_
_atom_site_label
_atom_site_fract_x
_atom_site_fract_y
_atom_site_fract_z
Ca1 0.000 0.000 0.000
Ta1 0.000 0.000 0.705
Cu1 0.000 0.000 0.322
# M_tot in μB/atom: 0.0001
# Excess energy over the best structure of this formula in the dataset in eV/atom: 0.183
# Raw total energy in eV/atom: -5.607

---

# CaTa3Cu | the Alexandria database | PBE-GGA | optimized geometry
data_CaTa3Cu
_chemical_formula_sum 'Ca1 Ta3 Cu1'
_cell_length_a 4.797
_cell_length_b 4.797
_cell_length_c 4.797
_cell_angle_alpha 90.00
_cell_angle_beta 90.00
_cell_angle_gamma 90.00
_symmetry_space_group_name_H-M 'P m -3 m'
_symmetry_Int_Tables_number 221
_symmetry_space_group_name_Hall '-P 4 2 3'
loop_
_atom_site_label
_atom_site_fract_x
_atom_site_fract_y
_atom_site_fract_z
Ca1 0.000 0.000 0.000
Ta1 0.000 0.500 0.500
Cu1 0.500 0.500 0.500
# M_tot in μB/atom: 0.0000
# Excess energy over the best structure of this formula in the dataset in eV/atom: 0.000
# Raw total energy in eV/atom: -7.136

---

# CaTa2Cu | the Alexandria database | PBE-GGA | optimized geometry
data_CaTa2Cu
_chemical_formula_sum 'Ca2 Ta4 Cu2'
_cell_length_a 2.978
_cell_length_b 4.825
_cell_length_c 10.786
_cell_angle_alpha 90.00
_cell_angle_beta 90.00
_cell_angle_gamma 90.00
_symmetry_space_group_name_H-M 'I m m m'
_symmetry_Int_Tables_number 71
_symmetry_space_group_name_Hall '-I 2 2'
loop_
_atom_site_label
_atom_site_fract_x
_atom_site_fract_y
_atom_site_fract_z
Ca1 0.000 0.000 0.000
Ta1 0.000 0.500 0.216
Cu1 0.000 0.000 0.500
# M_tot in μB/atom: 0.0000
# Excess energy over the best structure of this formula in the dataset in eV/atom: 0.000
# Raw total energy in eV/atom: -7.142

---

# CaTa2Cu | the Alexandria database | PBE-GGA | optimized geometry
data_CaTa2Cu
_chemical_formula_sum 'Ca1 Ta2 Cu1'
_cell_length_a 3.179
_cell_length_b 4.592
_cell_length_c 5.341
_cell_angle_alpha 90.00
_cell_angle_beta 90.00
_cell_angle_gamma 90.00
_symmetry_space_group_name_H-M 'P m m m'
_symmetry_Int_Tables_number 47
loop_
_symmetry_equiv_pos_as_xyz
'x,y,z'
'-x,-y,-z'
'-x,-y,z'
'x,y,-z'
'x,-y,-z'
'-x,y,z'
'-x,y,-z'
'x,-y,z'
loop_
_atom_site_label
_atom_site_fract_x
_atom_site_fract_y
_atom_site_fract_z
Ca1 0.000 0.000 0.000
Ta1 0.000 0.500 0.500
Ta2 0.500 0.000 0.500
Cu1 0.500 0.500 0.000
# M_tot in μB/atom: 0.0000
# Excess energy over the best structure of this formula in the dataset in eV/atom: 0.225
# Raw total energy in eV/atom: -6.917

---

# Ca2YTaCu | the Alexandria database | PBE-GGA | optimized geometry
data_Ca2YTaCu
_chemical_formula_sum 'Ca2 Y1 Ta1 Cu1'
_cell_length_a 5.343
_cell_length_b 5.343
_cell_length_c 4.980
_cell_angle_alpha 90.00
_cell_angle_beta 90.00
_cell_angle_gamma 90.00
_symmetry_space_group_name_H-M 'P 4/m m m'
_symmetry_Int_Tables_number 123
_symmetry_space_group_name_Hall '-P 4 2'
loop_
_atom_site_label
_atom_site_fract_x
_atom_site_fract_y
_atom_site_fract_z
Ca1 0.000 0.500 0.000
Y1 0.000 0.000 0.500
Ta1 0.500 0.500 0.500
Cu1 0.500 0.500 0.000
# M_tot in μB/atom: 0.2364
# Raw total energy in eV/atom: -4.642

---

# CaTaZnCu2 | the Alexandria database | PBE-GGA | optimized geometry
data_CaTaZnCu2
_chemical_formula_sum 'Ca1 Ta1 Zn1 Cu2'
_cell_length_a 4.674
_cell_length_b 4.674
_cell_length_c 5.047
_cell_angle_alpha 90.00
_cell_angle_beta 90.00
_cell_angle_gamma 90.00
_symmetry_space_group_name_H-M 'P 4/m m m'
_symmetry_Int_Tables_number 123
_symmetry_space_group_name_Hall '-P 4 2'
loop_
_atom_site_label
_atom_site_fract_x
_atom_site_fract_y
_atom_site_fract_z
Ca1 0.000 0.000 0.000
Ta1 0.000 0.000 0.500
Zn1 0.500 0.500 0.500
Cu1 0.000 0.500 0.000
# M_tot in μB/atom: 0.0000
# Raw total energy in eV/atom: -2.796

---

# CaTb2Cu9 | the Alexandria database | PBE-GGA | optimized geometry
data_CaTb2Cu9
_chemical_formula_sum 'Ca3 Tb6 Cu27'
_cell_length_a 5.1852
_cell_length_b 5.1852
_cell_length_c 24.9925
_cell_angle_alpha 90.00
_cell_angle_beta 90.00
_cell_angle_gamma 120.00
_symmetry_space_group_name_H-M 'R -3 m'
_symmetry_Int_Tables_number 166
_symmetry_space_group_name_Hall '-R 3 2"'
loop_
_atom_site_label
_atom_site_fract_x
_atom_site_fract_y
_atom_site_fract_z
Ca1 0.0000 0.0000 0.0000
Tb1 0.0000 0.0000 0.1410
Cu1 0.0000 0.0000 0.3325
Cu2 0.0000 0.0000 0.5000
Cu3 0.0001 0.5001 0.0821
# M_tot in μB/atom: 0.0000
# Raw total energy in eV/atom: -4.175

---

# CaTbCu4 | the Alexandria database | PBE-GGA | optimized geometry
data_CaTbCu4
_chemical_formula_sum 'Ca4 Tb4 Cu16'
_cell_length_a 7.474
_cell_length_b 7.474
_cell_length_c 7.474
_cell_angle_alpha 90.00
_cell_angle_beta 90.00
_cell_angle_gamma 90.00
_symmetry_space_group_name_H-M 'F -4 3 m'
_symmetry_Int_Tables_number 216
_symmetry_space_group_name_Hall 'F -4 2 3'
loop_
_atom_site_label
_atom_site_fract_x
_atom_site_fract_y
_atom_site_fract_z
Ca1 0.000 0.000 0.000
Tb1 0.250 0.250 0.750
Cu1 0.126 0.126 0.374
# M_tot in μB/atom: 0.0000
# Excess energy over the best structure of this formula in the dataset in eV/atom: 0.062
# Raw total energy in eV/atom: -3.947

---

# CaTbCu4 | the Alexandria database | PBE-GGA | optimized geometry
data_CaTbCu4
_chemical_formula_sum 'Ca2 Tb2 Cu8'
_cell_length_a 4.192
_cell_length_b 7.398
_cell_length_c 7.403
_cell_angle_alpha 90.00
_cell_angle_beta 90.00
_cell_angle_gamma 90.00
_symmetry_space_group_name_H-M 'I m m m'
_symmetry_Int_Tables_number 71
_symmetry_space_group_name_Hall '-I 2 2'
loop_
_atom_site_label
_atom_site_fract_x
_atom_site_fract_y
_atom_site_fract_z
Ca1 0.000 0.000 0.000
Tb1 0.000 0.500 0.000
Cu1 0.000 0.239 0.334
# M_tot in μB/atom: 0.0000
# Excess energy over the best structure of this formula in the dataset in eV/atom: 0.000
# Raw total energy in eV/atom: -4.010

---

# CaTbCu | the Alexandria database | PBE-GGA | optimized geometry
data_CaTbCu
_chemical_formula_sum 'Ca2 Tb2 Cu2'
_cell_length_a 3.559
_cell_length_b 3.559
_cell_length_c 12.746
_cell_angle_alpha 90.00
_cell_angle_beta 90.00
_cell_angle_gamma 90.00
_symmetry_space_group_name_H-M 'I 4 m m'
_symmetry_Int_Tables_number 107
_symmetry_space_group_name_Hall 'I 4 -2'
loop_
_atom_site_label
_atom_site_fract_x
_atom_site_fract_y
_atom_site_fract_z
Ca1 0.000 0.000 0.000
Tb1 0.000 0.000 0.268
Cu1 0.000 0.000 0.651
# M_tot in μB/atom: 0.0000
# Raw total energy in eV/atom: -3.651